(1)
The following is a PBE calculation of crystalline TlZnW2 at its relaxed geometry, from Alexandria.

POSCAR file:
```
TlZnW2
1.0
4.937 0.000 0.000
1.417 4.729 0.000
-3.177 -2.364 2.948
Tl W Zn
1 2 1
direct
0.750 0.250 0.500 Tl
0.000 0.000 0.000 W
0.250 0.750 0.500 W
0.500 0.500 0.000 Zn
```

Offset from the most stable computed form in meV per atom: 282
ΔE_f in meV/atom: 800.2
Total magnetization in Bohr magnetons per cell: 0.00

---

(2)
The following is a PBE calculation of crystalline Tl2ZnW at its relaxed geometry, from Alexandria.

POSCAR file:
```
Tl2ZnW
1.0
-0.994 -3.854 -1.317
-0.027 -1.349 3.969
-10.255 -0.329 2.034
Tl Zn W
4 2 2
direct
0.636 0.125 0.250 Tl
0.114 0.625 0.250 Tl
0.375 0.364 0.750 Tl
0.875 0.886 0.750 Tl
0.500 0.500 0.000 Zn
0.250 0.750 0.500 Zn
0.000 0.000 0.000 W
0.750 0.250 0.500 W
```

Offset from the most stable computed form in meV per atom: 492
ΔE_f in meV/atom: 1094.2
Total magnetization in Bohr magnetons per cell: 0.00

---

(3)
The following is a PBE calculation of crystalline TlZn2W at its relaxed geometry, from Alexandria.

POSCAR file:
```
TlZn2W
1.0
7.340 0.000 0.000
0.000 7.340 0.000
3.670 3.670 2.811
Tl Zn W
2 4 2
direct
0.000 0.000 0.000 Tl
0.750 0.250 0.500 Tl
0.611 0.125 0.250 Zn
0.139 0.625 0.250 Zn
0.375 0.389 0.750 Zn
0.875 0.861 0.750 Zn
0.500 0.500 0.000 W
0.250 0.750 0.500 W
```

Offset from the most stable computed form in meV per atom: 447
ΔE_f in meV/atom: 872.3
Total magnetization in Bohr magnetons per cell: 1.82

---

(4)
The following is a PBE calculation of crystalline TlZnW2 at its relaxed geometry, from Alexandria.

POSCAR file:
```
TlZnW2
1.0
9.529 -0.010 -0.006
9.081 2.888 -0.006
9.081 1.404 2.524
Tl W Zn
1 2 1
direct
0.250 0.250 0.250 Tl
0.005 0.005 0.005 W
0.495 0.495 0.495 W
0.750 0.750 0.750 Zn
```

Offset from the most stable computed form in meV per atom: 291
ΔE_f in meV/atom: 809.1
Total magnetization in Bohr magnetons per cell: 0.00

---

(5)
The following is a PBE calculation of crystalline TlZn2W at its relaxed geometry, from Alexandria.

POSCAR file:
```
TlZn2W
1.0
9.406 -0.023 -0.013
8.936 2.938 -0.013
8.936 1.420 2.572
Tl W Zn
1 1 2
direct
0.501 0.501 0.501 Tl
0.742 0.742 0.742 W
0.999 0.999 0.999 Zn
0.258 0.258 0.258 Zn
```

Offset from the most stable computed form in meV per atom: 93
ΔE_f in meV/atom: 518.2
Total magnetization in Bohr magnetons per cell: 0.00

---

(6)
The following is a PBE calculation of crystalline TlZnW2 at its relaxed geometry, from Alexandria.

POSCAR file:
```
TlZnW2
1.0
-2.274 0.240 -1.600
-1.580 -0.924 2.107
-1.121 8.429 2.855
Tl W Zn
1 2 1
direct
0.500 0.500 0.750 Tl
0.000 0.000 0.024 W
0.000 0.000 0.476 W
0.500 0.500 0.250 Zn
```

Offset from the most stable computed form in meV per atom: 360
ΔE_f in meV/atom: 878.0
Total magnetization in Bohr magnetons per cell: 0.00

---

(7)
The following is a PBE calculation of crystalline Tl2ZnW at its relaxed geometry, from Alexandria.

POSCAR file:
```
Tl2ZnW
1.0
-2.702 -1.224 -0.174
0.465 -0.254 -5.441
2.088 -4.663 0.396
Tl W Zn
2 1 1
direct
0.000 0.000 0.000 Tl
0.500 0.500 0.000 Tl
0.500 0.000 0.500 W
0.000 0.500 0.500 Zn
```

Offset from the most stable computed form in meV per atom: 241
ΔE_f in meV/atom: 843.0
Total magnetization in Bohr magnetons per cell: 0.00

---

(8)
The following is a PBE calculation of crystalline TlZnW2 at its relaxed geometry, from Alexandria.

POSCAR file:
```
TlZnW2
1.0
-0.990 3.758 -3.265
-1.648 0.953 -4.705
-4.532 0.768 0.576
Tl W Zn
1 2 1
direct
0.250 0.250 0.250 Tl
0.003 0.003 0.978 W
0.497 0.497 0.522 W
0.750 0.750 0.750 Zn
```

Offset from the most stable computed form in meV per atom: 191
ΔE_f in meV/atom: 708.6
Total magnetization in Bohr magnetons per cell: 0.00

---

(9)
The following is a PBE calculation of crystalline TlZn4W at its relaxed geometry, from Alexandria.

POSCAR file:
```
TlZn4W
1.0
0.000 3.659 3.659
3.659 0.000 3.659
3.659 3.659 0.000
Tl Zn W
1 4 1
direct
0.750 0.750 0.750 Tl
0.880 0.373 0.373 Zn
0.373 0.373 0.880 Zn
0.373 0.880 0.373 Zn
0.373 0.373 0.373 Zn
0.000 0.000 0.000 W
```

ΔE_f in meV/atom: 532.8
Total magnetization in Bohr magnetons per cell: 0.77

---

(10)
The following is a PBE calculation of crystalline TlZnW3 at its relaxed geometry, from Alexandria.

POSCAR file:
```
TlZnW3
1.0
-0.586 4.263 1.659
-4.266 -1.113 1.353
1.652 -1.363 4.084
Tl Zn W
1 1 3
direct
0.500 0.500 0.500 Tl
0.000 0.000 0.000 Zn
0.000 0.500 0.000 W
0.000 0.000 0.500 W
0.500 0.000 0.000 W
```

Offset from the most stable computed form in meV per atom: 0
ΔE_f in meV/atom: 1988.2
Total magnetization in Bohr magnetons per cell: 0.00

---

(11)
The following is a PBE calculation of crystalline ZrTlW2 at its relaxed geometry, from Alexandria.

POSCAR file:
```
ZrTlW2
1.0
-3.268 -2.609 3.316
4.934 -2.031 -0.116
0.783 1.777 2.170
Tl W Zr
1 2 1
direct
0.000 0.500 0.500 Tl
0.000 0.000 0.000 W
0.500 0.500 0.000 W
0.500 0.000 0.500 Zr
```

Offset from the most stable computed form in meV per atom: 437
ΔE_f in meV/atom: 721.4
Total magnetization in Bohr magnetons per cell: 0.00

---

(12)
The following is a PBE calculation of crystalline ZrTlW2 at its relaxed geometry, from Alexandria.

POSCAR file:
```
ZrTlW2
1.0
2.856 0.000 0.000
0.000 2.856 0.000
0.000 0.000 9.514
Tl W Zr
1 2 1
direct
0.500 0.500 0.750 Tl
0.000 0.000 0.002 W
0.000 0.000 0.498 W
0.500 0.500 0.250 Zr
```

Offset from the most stable computed form in meV per atom: 461
ΔE_f in meV/atom: 745.7
Total magnetization in Bohr magnetons per cell: 0.00

---

(13)
The following is a PBE calculation of crystalline ZrTl2W at its relaxed geometry, from Alexandria.

POSCAR file:
```
ZrTl2W
1.0
7.838 0.000 0.000
0.000 7.838 0.000
3.919 3.919 2.997
Tl Zr W
4 2 2
direct
0.640 0.125 0.250 Tl
0.110 0.625 0.250 Tl
0.375 0.360 0.750 Tl
0.875 0.890 0.750 Tl
0.500 0.500 0.000 Zr
0.250 0.750 0.500 Zr
0.000 0.000 0.000 W
0.750 0.250 0.500 W
```

Offset from the most stable computed form in meV per atom: 425
ΔE_f in meV/atom: 872.0
Total magnetization in Bohr magnetons per cell: 0.00

---

(14)
The following is a PBE calculation of crystalline ZrTlW2 at its relaxed geometry, from Alexandria.

POSCAR file:
```
ZrTlW2
1.0
3.612 0.000 0.000
0.000 4.520 0.000
0.000 0.000 4.609
Tl W Zr
1 2 1
direct
0.000 0.500 0.500 Tl
0.000 0.000 0.000 W
0.500 0.500 0.000 W
0.500 0.000 0.500 Zr
```

Offset from the most stable computed form in meV per atom: 217
ΔE_f in meV/atom: 501.6
Total magnetization in Bohr magnetons per cell: 0.00

---

(15)
The following is a PBE calculation of crystalline ZrTlW2 at its relaxed geometry, from Alexandria.

POSCAR file:
```
ZrTlW2
1.0
4.343 0.000 0.000
0.000 2.976 0.137
0.000 1.863 6.085
Tl W Zr
1 2 1
direct
0.500 0.758 0.755 Tl
0.000 0.062 0.033 W
0.500 0.224 0.232 W
0.000 0.455 0.480 Zr
```

Offset from the most stable computed form in meV per atom: 139
ΔE_f in meV/atom: 423.4
Total magnetization in Bohr magnetons per cell: 0.00

---

(16)
The following is a PBE calculation of crystalline ZrTlW2 at its relaxed geometry, from Alexandria.

POSCAR file:
```
ZrTlW2
1.0
-0.209 0.410 4.722
-3.001 3.095 1.982
-3.813 -1.565 2.350
Tl Zr W
1 1 2
direct
0.500 0.500 0.500 Tl
0.000 0.000 0.000 Zr
0.250 0.250 0.250 W
0.750 0.750 0.750 W
```

Offset from the most stable computed form in meV per atom: 567
ΔE_f in meV/atom: 851.4
Total magnetization in Bohr magnetons per cell: 0.00

---

(17)
The following is a PBE calculation of crystalline Zr4TlW at its relaxed geometry, from Alexandria.

POSCAR file:
```
Zr4TlW
1.0
-3.064 -3.036 3.700
-5.671 -0.030 -0.358
-2.713 -4.685 -1.727
Zr Tl W
4 1 1
direct
0.882 0.373 0.373 Zr
0.373 0.373 0.882 Zr
0.373 0.882 0.373 Zr
0.373 0.373 0.373 Zr
0.750 0.750 0.750 Tl
0.000 0.000 0.000 W
```

ΔE_f in meV/atom: 570.9
Total magnetization in Bohr magnetons per cell: 0.00

---

(18)
The following is a PBE calculation of crystalline ZrTl2W at its relaxed geometry, from Alexandria.

POSCAR file:
```
ZrTl2W
1.0
5.300 -0.225 0.270
4.214 3.222 0.270
1.180 0.372 4.798
Tl W Zr
2 1 1
direct
0.007 0.007 0.987 Tl
0.493 0.493 0.513 Tl
0.750 0.750 0.750 W
0.250 0.250 0.250 Zr
```

Offset from the most stable computed form in meV per atom: 77
ΔE_f in meV/atom: 523.3
Total magnetization in Bohr magnetons per cell: 0.00

---

(19)
The following is a PBE calculation of crystalline ZrTl2W at its relaxed geometry, from Alexandria.

POSCAR file:
```
ZrTl2W
1.0
-4.960 2.672 -2.024
0.096 -1.645 5.434
0.120 2.736 1.293
Tl W Zr
2 1 1
direct
0.000 0.000 0.000 Tl
0.500 0.000 0.500 Tl
0.000 0.500 0.500 W
0.500 0.500 0.000 Zr
```

Offset from the most stable computed form in meV per atom: 154
ΔE_f in meV/atom: 600.7
Total magnetization in Bohr magnetons per cell: 0.00

---

(20)
The following is a PBE calculation of crystalline ZrTl2W at its relaxed geometry, from Alexandria.

POSCAR file:
```
ZrTl2W
1.0
-0.724 -1.559 2.499
0.135 -3.853 -2.364
5.944 -0.613 1.340
Tl W Zr
2 1 1
direct
0.000 0.000 0.009 Tl
0.000 0.000 0.491 Tl
0.500 0.500 0.250 W
0.500 0.500 0.750 Zr
```

Offset from the most stable computed form in meV per atom: 161
ΔE_f in meV/atom: 607.2
Total magnetization in Bohr magnetons per cell: 0.00

---

(21)
The following is a PBE calculation of crystalline ZrTl2W at its relaxed geometry, from Alexandria.

POSCAR file:
```
ZrTl2W
1.0
-2.857 -0.121 -1.136
-1.132 -0.106 2.859
-0.437 8.856 0.156
Tl W Zr
2 1 1
direct
0.000 0.000 0.012 Tl
0.000 0.000 0.488 Tl
0.500 0.500 0.250 W
0.500 0.500 0.750 Zr
```

Offset from the most stable computed form in meV per atom: 214
ΔE_f in meV/atom: 660.0
Total magnetization in Bohr magnetons per cell: 0.31

---

(22)
The following is a PBE calculation of crystalline ZrTl2W at its relaxed geometry, from Alexandria.

POSCAR file:
```
ZrTl2W
1.0
-1.289 -0.176 2.754
2.504 -1.731 -0.096
5.387 7.629 3.010
Tl W Zr
2 1 1
direct
0.000 0.000 0.010 Tl
0.000 0.000 0.490 Tl
0.500 0.500 0.250 W
0.500 0.500 0.750 Zr
```

Offset from the most stable computed form in meV per atom: 174
ΔE_f in meV/atom: 620.1
Total magnetization in Bohr magnetons per cell: 0.00

---

(23)
The following is a PBE calculation of crystalline ZrTlW2 at its relaxed geometry, from Alexandria.

POSCAR file:
```
ZrTlW2
1.0
-2.527 -4.167 -0.601
2.141 -1.488 1.314
-1.978 0.467 5.079
Tl W Zr
1 2 1
direct
0.500 0.750 0.750 Tl
0.000 0.941 0.031 W
0.000 0.559 0.469 W
0.500 0.250 0.250 Zr
```

Offset from the most stable computed form in meV per atom: 233
ΔE_f in meV/atom: 517.9
Total magnetization in Bohr magnetons per cell: 0.00

---

(24)
The following is a PBE calculation of crystalline ZrTlW2 at its relaxed geometry, from Alexandria.

POSCAR file:
```
ZrTlW2
1.0
5.430 -0.160 0.549
4.426 3.149 0.549
1.382 0.419 4.447
Tl W Zr
1 2 1
direct
0.250 0.250 0.250 Tl
0.007 0.007 0.014 W
0.493 0.493 0.486 W
0.750 0.750 0.750 Zr
```

Offset from the most stable computed form in meV per atom: 236
ΔE_f in meV/atom: 520.4
Total magnetization in Bohr magnetons per cell: 0.00

---

(25)
The following is a PBE calculation of crystalline ZrTl2W at its relaxed geometry, from Alexandria.

POSCAR file:
```
ZrTl2W
1.0
3.644 0.000 0.000
0.000 3.644 0.000
0.000 0.000 6.312
Tl W Zr
2 1 1
direct
0.000 0.000 0.014 Tl
0.000 0.000 0.486 Tl
0.500 0.500 0.250 W
0.500 0.500 0.750 Zr
```

Offset from the most stable computed form in meV per atom: 246
ΔE_f in meV/atom: 692.5
Total magnetization in Bohr magnetons per cell: 0.00

---

(26)
The following is a PBE calculation of crystalline ZrTl3W at its relaxed geometry, from Alexandria.

POSCAR file:
```
ZrTl3W
1.0
-2.832 0.669 4.453
1.430 -4.855 1.638
4.270 2.070 2.405
Tl Zr W
3 1 1
direct
0.000 0.500 0.000 Tl
0.000 0.000 0.500 Tl
0.500 0.000 0.000 Tl
0.500 0.500 0.500 Zr
0.000 0.000 0.000 W
```

Offset from the most stable computed form in meV per atom: 0
ΔE_f in meV/atom: 1233.1
Total magnetization in Bohr magnetons per cell: 1.55

---

(27)
The following is a PBE calculation of crystalline ZrTl2W at its relaxed geometry, from Alexandria.

POSCAR file:
```
ZrTl2W
1.0
-2.433 2.376 -1.427
-1.743 -2.789 -1.671
-3.796 -0.753 5.216
Tl W Zr
2 1 1
direct
0.000 0.000 0.994 Tl
0.500 0.500 0.262 Tl
0.000 0.000 0.528 W
0.500 0.500 0.716 Zr
```

Offset from the most stable computed form in meV per atom: 51
ΔE_f in meV/atom: 497.8
Total magnetization in Bohr magnetons per cell: 0.00

---

(28)
The following is a PBE calculation of crystalline ZrTlW2 at its relaxed geometry, from Alexandria.

POSCAR file:
```
ZrTlW2
1.0
-0.293 -3.092 1.778
-1.217 -1.590 -2.966
5.740 -1.451 -1.578
Tl W Zr
1 2 1
direct
0.500 0.500 0.750 Tl
0.000 0.000 0.035 W
0.000 0.000 0.465 W
0.500 0.500 0.250 Zr
```

Offset from the most stable computed form in meV per atom: 358
ΔE_f in meV/atom: 643.2
Total magnetization in Bohr magnetons per cell: 0.00

---

(29)
The following is a PBE calculation of crystalline ZrTlW2 at its relaxed geometry, from Alexandria.

POSCAR file:
```
ZrTlW2
1.0
-1.300 -2.810 3.594
2.960 -0.723 3.636
-0.960 1.876 4.250
Tl W Zr
1 2 1
direct
0.500 0.500 0.500 Tl
0.000 0.000 0.000 W
0.750 0.750 0.750 W
0.250 0.250 0.250 Zr
```

Offset from the most stable computed form in meV per atom: 261
ΔE_f in meV/atom: 545.9
Total magnetization in Bohr magnetons per cell: 0.00

---

(30)
The following is a PBE calculation of crystalline ZrTlW2 at its relaxed geometry, from Alexandria.

POSCAR file:
```
ZrTlW2
1.0
-0.815 -10.088 -1.655
1.136 -9.454 -3.808
2.094 -9.985 -1.043
Tl W Zr
1 2 1
direct
0.750 0.750 0.750 Tl
0.001 0.001 0.001 W
0.499 0.499 0.499 W
0.250 0.250 0.250 Zr
```

Offset from the most stable computed form in meV per atom: 516
ΔE_f in meV/atom: 800.5
Total magnetization in Bohr magnetons per cell: 0.00

---

Values for Fermi-level density of states, states/eV/cell, ordered as above
2.55 3.58 3.53 3.59 1.86 3.40 1.66 3.25 4.26 7.25 3.59 3.58 1.98 3.18 3.88 5.15 6.96 1.99 2.25 2.52 3.56 2.74 3.70 2.45 3.20 5.05 2.87 4.49 3.21 5.07